VASP calculation (GGA-PBE) on a relaxed GaMo2C crystal.

The structure belongs to space group P1 (No. 1); the cell edges are 3.0077, 5.5025 and 7.0833 Å and the angles 92.58°, 99.60° and 105.77°. The asymmetric unit holds Ga at (0.0000, 0.0000, 0.0000), Ga at (0.1290, 0.5483, 0.6637), Mo at (0.0504, 0.7748, 0.3249), Mo at (0.3500, 0.1041, 0.6698), Mo at (0.7612, 0.4549, 0.9797), Mo at (0.7849, 0.2363, 0.3252), C at (0.3651, 0.4824, 0.2034) and C at (0.6954, 0.9201, 0.5097).

The calculation puts the energy above the most stable polymorph in this dataset at 201 meV/atom. The formation energy is 0.077 eV per atom.

---

VASP calculation (GGA-PBE) on a relaxed YMn2Rh crystal.

The structure belongs to space group P4/mmm (No. 123); the cell edges are 3.2065, 3.2065 and 6.9679 Å and the angles 90.00°, 90.00° and 90.00°. The asymmetric unit holds Y at (0.0000, 0.0000, 0.0000), Mn at (0.5000, 0.5000, 0.2994) and Rh at (0.0000, 0.0000, 0.5000).

The formation energy is 0.072 eV per atom.

---

VASP calculation (GGA-PBE) on a relaxed Zr3NiAg3S8 crystal.

The structure belongs to space group C2/m (No. 12); the cell edges are 12.6600, 7.2971 and 7.8988 Å and the angles 90.00°, 122.44° and 90.00°. The asymmetric unit holds Zr at (0.0000, 0.0000, 0.0000), Zr at (0.2500, 0.2500, 0.0000), Ni at (0.0000, 0.5000, 0.0000), Ag at (0.0000, 0.5000, 0.5000), Ag at (0.2500, 0.2500, 0.5000), S at (0.0069, 0.2616, 0.7829), S at (0.2318, 0.5000, 0.2175) and S at (0.2413, 0.0000, 0.2238).

The calculation puts the formation energy without anion corrections at -12.085 eV per formula unit.

---

VASP calculation (GGA-PBE) on a relaxed RbNaPu2Cl8 crystal.

The structure belongs to space group P2/m (No. 10); the cell edges are 6.7781, 8.6191 and 6.9631 Å and the angles 90.00°, 94.21° and 90.00°. The asymmetric unit holds Rb at (0.0000, 0.0000, 0.0000), Na at (0.0000, 0.5000, 0.0000), Pu at (0.5000, 0.2563, 0.5000), Cl at (0.2516, 0.2765, 0.1862), Cl at (0.2917, 0.5000, 0.6478) and Cl at (0.2964, 0.0000, 0.6322).

The calculation puts the formation energy without anion corrections at -22.649 eV per formula unit.

---

Ordered total DFT energy (no corrections) results: -8.401 -7.966 -5.672 -5.698; unit eV per atom.